Here is a geometry-optimized PmNd2YEr2 structure from Alexandria via LeMat-Bulk. Energies are from PBE.

calculated density = 7.2 g/cm3
energy = -4.917 eV/atom

Lattice parameters (Å, degrees): 5.6744 9.8439 7.0818 90.00 90.00 90.00
Fractional coordinates of all 12 atoms:
Pm (0.0000, 0.0000, 0.0000)
Pm (0.5000, 0.5000, 0.5000)
Nd (0.5000, 0.8331, 0.2519)
Nd (0.5000, 0.1669, 0.7481)
Nd (0.0000, 0.6669, 0.7519)
Nd (0.0000, 0.3331, 0.2481)
Y (0.5000, 0.5000, 0.0000)
Y (0.0000, 0.0000, 0.5000)
Er (0.5000, 0.1666, 0.2495)
Er (0.0000, 0.6666, 0.2505)
Er (0.5000, 0.8334, 0.7505)
Er (0.0000, 0.3334, 0.7495)